[1]
VASP calculation (PBE) on an optimized crystal structure of SrTlAu3.

```
SrTlAu3
1.0
5.324 0.000 0.000
0.000 5.324 0.000
0.000 0.000 5.324
Sr Tl Au
1 1 3
Direct
0.000 0.000 0.000
0.500 0.500 0.500
0.000 0.500 0.500
0.500 0.000 0.500
0.500 0.500 0.000
```

Values from the calculation:
**Energy relative to the lowest polymorph listed for this composition**: 0.3955 eV per atom
**SG**: Pm-3m (221)
**Energy of formation from the pure elements**: -68 meV per atom

[2]
VASP calculation (PBE) on an optimized crystal structure of Sr3Tl4Au4.

```
Sr3Tl4Au4
1.0
4.168 0.000 0.000
-0.003 4.869 0.000
-2.067 -2.402 15.377
Sr Tl Au
3 4 4
Direct
0.000 0.000 0.000
0.144 0.642 0.289
0.856 0.358 0.711
0.257 0.256 0.512
0.406 0.908 0.814
0.594 0.092 0.186
0.743 0.744 0.488
0.315 0.817 0.631
0.453 0.455 0.909
0.547 0.545 0.091
0.685 0.183 0.369
```

Values from the calculation:
**SG**: P-1 (2)
**Energy of formation from the pure elements**: -454 meV per atom

[3]
VASP calculation (PBE) on an optimized crystal structure of SrTlAu3.

```
SrTlAu3
1.0
5.875 0.000 0.000
0.000 5.875 0.000
0.000 0.000 5.875
Sr Tl Au
1 1 3
Direct
0.000 0.000 0.000
0.500 0.500 0.500
0.000 0.000 0.500
0.000 0.500 0.000
0.500 0.000 0.000
```

Values from the calculation:
**Energy relative to the lowest polymorph listed for this composition**: 0.6557 eV per atom
**SG**: Pm-3m (221)
**Energy of formation from the pure elements**: 192 meV per atom

[4]
VASP calculation (PBE) on an optimized crystal structure of Sr5TlAu2.

```
Sr5TlAu2
1.0
-4.280 4.280 7.794
4.280 -4.280 7.794
4.280 4.280 -7.794
Sr Tl Au
10 2 4
Direct
0.000 0.000 0.000
0.028 0.528 0.835
0.193 0.028 0.500
0.307 0.807 0.835
0.472 0.307 0.500
0.500 0.500 0.000
0.528 0.693 0.500
0.693 0.193 0.165
0.807 0.972 0.500
0.972 0.472 0.165
0.250 0.250 0.000
0.750 0.750 0.000
0.127 0.373 0.500
0.373 0.873 0.245
0.627 0.127 0.755
0.873 0.627 0.500
```

Values from the calculation:
**SG**: I4/mcm (140)
**Energy of formation from the pure elements**: -559 meV per atom

[5]
VASP calculation (PBE) on an optimized crystal structure of SrTl3Au2.

```
SrTl3Au2
1.0
-2.182 4.923 7.748
2.182 -4.923 7.748
2.182 4.923 -7.748
Sr Tl Au
2 6 4
Direct
0.134 0.134 0.000
0.866 0.866 0.000
0.131 0.331 0.800
0.347 0.000 0.347
0.469 0.669 0.800
0.531 0.331 0.200
0.653 0.000 0.653
0.869 0.669 0.200
0.142 0.500 0.642
0.301 0.801 0.500
0.699 0.199 0.500
0.858 0.500 0.358
```

Values from the calculation:
**SG**: Immm (71)
**Energy of formation from the pure elements**: -312 meV per atom

[6]
VASP calculation (PBE) on an optimized crystal structure of Sr3Tl7Au2.

```
Sr3Tl7Au2
1.0
5.128 0.000 0.000
0.000 4.354 0.000
-2.337 0.000 16.407
Sr Tl Au
3 7 2
Direct
0.000 0.000 0.000
0.320 0.500 0.653
0.680 0.500 0.347
0.087 0.500 0.164
0.229 0.000 0.453
0.410 0.000 0.835
0.500 0.500 0.000
0.590 0.000 0.165
0.771 0.000 0.547
0.913 0.500 0.836
0.154 0.000 0.283
0.846 0.000 0.717
```

Values from the calculation:
**SG**: P2/m (10)
**Energy of formation from the pure elements**: -310 meV per atom

[7]
VASP calculation (PBE) on an optimized crystal structure of Sr3TlAu.

```
Sr3TlAu
1.0
8.258 0.000 0.000
0.000 5.204 0.000
0.000 0.000 17.064
Sr Tl Au
12 4 4
Direct
0.011 0.250 0.105
0.131 0.750 0.453
0.190 0.250 0.723
0.310 0.750 0.223
0.369 0.250 0.953
0.489 0.750 0.605
0.511 0.250 0.395
0.631 0.750 0.047
0.690 0.250 0.777
0.810 0.750 0.277
0.869 0.250 0.547
0.989 0.750 0.895
0.086 0.250 0.318
0.414 0.750 0.818
0.586 0.250 0.182
0.914 0.750 0.682
0.227 0.750 0.043
0.273 0.250 0.543
0.727 0.750 0.457
0.773 0.250 0.957
```

Values from the calculation:
**Energy relative to the lowest polymorph listed for this composition**: 0.0000 eV per atom
**SG**: Pnma (62)
**Energy of formation from the pure elements**: -490 meV per atom

[8]
VASP calculation (PBE) on an optimized crystal structure of Sr2Tl5Au.

```
Sr2Tl5Au
1.0
7.338 0.000 0.000
0.000 14.722 0.000
0.000 0.000 4.482
Sr Tl Au
4 10 2
Direct
0.213 0.115 0.000
0.287 0.615 0.000
0.713 0.385 0.000
0.787 0.885 0.000
0.000 0.500 0.500
0.023 0.744 0.500
0.241 0.377 0.000
0.259 0.877 0.000
0.477 0.244 0.500
0.500 0.000 0.500
0.523 0.756 0.500
0.741 0.123 0.000
0.759 0.623 0.000
0.977 0.256 0.500
0.000 0.000 0.500
0.500 0.500 0.500
```

Values from the calculation:
**SG**: Pbam (55)
**Energy of formation from the pure elements**: -285 meV per atom

[9]
VASP calculation (PBE) on an optimized crystal structure of Sr4TlAu.

```
Sr4TlAu
1.0
7.915 0.000 0.000
0.000 8.013 0.000
-0.772 0.000 8.076
Sr Tl Au
8 2 2
Direct
0.149 0.164 0.181
0.149 0.336 0.681
0.339 0.653 0.133
0.339 0.847 0.633
0.661 0.153 0.367
0.661 0.347 0.867
0.851 0.664 0.319
0.851 0.836 0.819
0.500 0.000 0.000
0.500 0.500 0.500
0.000 0.000 0.500
0.000 0.500 0.000
```

Values from the calculation:
**Energy relative to the lowest polymorph listed for this composition**: 0.0251 eV per atom
**SG**: P2_1/c (14)
**Energy of formation from the pure elements**: -371 meV per atom

[10]
VASP calculation (PBE) on an optimized crystal structure of SrTlAu10.

```
SrTlAu10
1.0
4.640 0.000 0.000
0.000 5.760 0.000
0.000 0.000 9.846
Sr Tl Au
1 1 10
Direct
0.000 0.000 0.000
0.000 0.500 0.500
0.000 0.000 0.338
0.000 0.000 0.662
0.000 0.500 0.177
0.000 0.500 0.823
0.500 0.000 0.500
0.500 0.242 0.241
0.500 0.242 0.759
0.500 0.500 0.000
0.500 0.758 0.241
0.500 0.758 0.759
```

Values from the calculation:
**SG**: Pmmm (47)
**Energy of formation from the pure elements**: -233 meV per atom

[11]
VASP calculation (PBE) on an optimized crystal structure of Sr2Tl2Au.

```
Sr2Tl2Au
1.0
8.409 0.000 0.000
0.000 8.409 0.000
0.000 0.000 5.127
Sr Tl Au
4 4 2
Direct
0.170 0.330 0.000
0.330 0.830 0.000
0.670 0.170 0.000
0.830 0.670 0.000
0.136 0.636 0.500
0.364 0.136 0.500
0.636 0.864 0.500
0.864 0.364 0.500
0.000 0.000 0.000
0.500 0.500 0.000
```

Values from the calculation:
**Energy relative to the lowest polymorph listed for this composition**: 0.2344 eV per atom
**SG**: P4/mbm (127)
**Energy of formation from the pure elements**: -245 meV per atom

[12]
VASP calculation (PBE) on an optimized crystal structure of SrYTlAu.

```
SrYTlAu
1.0
0.000 3.824 3.824
3.824 0.000 3.824
3.824 3.824 0.000
Sr Y Tl Au
1 1 1 1
Direct
0.000 0.000 0.000
0.500 0.500 0.500
0.750 0.750 0.750
0.250 0.250 0.250
```

Values from the calculation:
**SG**: F-43m (216)
**Energy of formation from the pure elements**: -501 meV per atom

[13]
VASP calculation (PBE) on an optimized crystal structure of Sr3Tl2Zn2Au4.

```
Sr3Tl2Zn2Au4
1.0
4.685 0.000 0.000
-2.342 4.057 0.000
0.000 0.000 15.876
Sr Tl Zn Au
3 2 2 4
Direct
0.000 0.000 0.000
0.000 0.000 0.258
0.000 0.000 0.742
0.333 0.667 0.566
0.667 0.333 0.434
0.333 0.667 0.131
0.667 0.333 0.869
0.333 0.667 0.366
0.333 0.667 0.874
0.667 0.333 0.126
0.667 0.333 0.634
```

Values from the calculation:
**SG**: P-3m1 (164)
**Energy of formation from the pure elements**: -476 meV per atom

[14]
VASP calculation (PBE) on an optimized crystal structure of Sr2TlZnAu6.

```
Sr2TlZnAu6
1.0
5.497 0.000 0.000
2.723 6.758 0.000
2.745 -0.125 6.800
Sr Tl Zn Au
2 1 1 6
Direct
0.036 0.211 0.216
0.964 0.789 0.784
0.500 0.500 0.000
0.500 0.000 0.500
0.016 0.223 0.744
0.341 0.404 0.416
0.485 0.778 0.254
0.515 0.222 0.746
0.659 0.596 0.584
0.984 0.777 0.256
```

Values from the calculation:
**SG**: P-1 (2)
**Energy of formation from the pure elements**: -405 meV per atom

[15]
VASP calculation (PBE) on an optimized crystal structure of Sr2TlZnAu.

```
Sr2TlZnAu
1.0
6.049 0.000 0.000
0.000 6.049 0.000
0.000 0.000 4.889
Sr Tl Zn Au
2 1 1 1
Direct
0.000 0.500 0.000
0.500 0.000 0.000
0.000 0.000 0.500
0.500 0.500 0.500
0.500 0.500 0.000
```

Values from the calculation:
**SG**: P4/mmm (123)
**Energy of formation from the pure elements**: -301 meV per atom

[16]
VASP calculation (PBE) on an optimized crystal structure of SrTm4Au5.

```
SrTm4Au5
1.0
3.575 0.000 0.000
0.000 3.575 0.000
0.000 0.000 18.331
Sr Tm Au
1 4 5
Direct
0.000 0.000 0.000
0.000 0.000 0.208
0.000 0.000 0.403
0.000 0.000 0.597
0.000 0.000 0.792
0.500 0.500 0.122
0.500 0.500 0.306
0.500 0.500 0.500
0.500 0.500 0.694
0.500 0.500 0.878
```

Values from the calculation:
**SG**: P4/mmm (123)
**Energy of formation from the pure elements**: -856 meV per atom

[17]
VASP calculation (PBE) on an optimized crystal structure of SrTmAu.

```
SrTmAu
1.0
4.907 0.000 0.000
-2.453 4.249 0.000
0.000 0.000 4.644
Sr Tm Au
1 1 1
Direct
0.000 0.000 0.000
0.667 0.333 0.500
0.333 0.667 0.504
```

Values from the calculation:
**Energy relative to the lowest polymorph listed for this composition**: 0.1958 eV per atom
**SG**: P3m1 (156)
**Energy of formation from the pure elements**: -373 meV per atom

[18]
VASP calculation (PBE) on an optimized crystal structure of Sr2TmAu4.

```
Sr2TmAu4
1.0
-2.649 2.649 6.876
2.649 -2.649 6.876
2.649 2.649 -6.876
Sr Tm Au
2 1 4
Direct
0.225 0.225 0.000
0.775 0.775 0.000
0.500 0.500 0.000
0.104 0.604 0.500
0.396 0.896 0.500
0.604 0.104 0.500
0.896 0.396 0.500
```

Values from the calculation:
**SG**: I4/mmm (139)
**Energy of formation from the pure elements**: -630 meV per atom

[19]
VASP calculation (PBE) on an optimized crystal structure of SrTmAu2.

```
SrTmAu2
1.0
3.662 0.000 0.000
0.000 3.662 0.000
0.000 0.000 7.544
Sr Tm Au
1 1 2
Direct
0.000 0.000 0.000
0.000 0.000 0.500
0.500 0.500 0.292
0.500 0.500 0.708
```

Values from the calculation:
**Energy relative to the lowest polymorph listed for this composition**: 0.0000 eV per atom
**SG**: P4/mmm (123)
**Energy of formation from the pure elements**: -809 meV per atom

[20]
VASP calculation (PBE) on an optimized crystal structure of SrTmAu2.

```
SrTmAu2
1.0
0.000 3.680 3.680
3.680 0.000 3.680
3.680 3.680 0.000
Sr Tm Au
1 1 2
Direct
0.000 0.000 0.000
0.500 0.500 0.500
0.250 0.250 0.250
0.750 0.750 0.750
```

Values from the calculation:
**Energy relative to the lowest polymorph listed for this composition**: 0.1071 eV per atom
**SG**: Fm-3m (225)
**Energy of formation from the pure elements**: -702 meV per atom

[21]
VASP calculation (PBE) on an optimized crystal structure of SrTmAu.

```
SrTmAu
1.0
-1.868 1.868 6.572
1.868 -1.868 6.572
1.868 1.868 -6.572
Sr Tm Au
1 1 1
Direct
0.000 0.000 0.000
0.270 0.270 0.000
0.671 0.671 0.000
```

Values from the calculation:
**Energy relative to the lowest polymorph listed for this composition**: 0.0526 eV per atom
**SG**: I4mm (107)
**Energy of formation from the pure elements**: -517 meV per atom

[22]
VASP calculation (PBE) on an optimized crystal structure of SrTmAu2.

```
SrTmAu2
1.0
2.472 1.427 5.142
-2.472 1.427 5.142
0.000 -2.854 5.142
Sr Tm Au
1 1 2
Direct
0.000 0.000 0.000
0.500 0.500 0.500
0.212 0.212 0.212
0.788 0.788 0.788
```

Values from the calculation:
**Energy relative to the lowest polymorph listed for this composition**: 0.0815 eV per atom
**SG**: R-3m (166)
**Energy of formation from the pure elements**: -728 meV per atom

[23]
VASP calculation (PBE) on an optimized crystal structure of SrTm2Au3.

```
SrTm2Au3
1.0
3.616 0.000 0.000
0.000 3.616 0.000
0.000 0.000 11.089
Sr Tm Au
1 2 3
Direct
0.000 0.000 0.000
0.000 0.000 0.339
0.000 0.000 0.661
0.500 0.500 0.200
0.500 0.500 0.500
0.500 0.500 0.800
```

Values from the calculation:
**SG**: P4/mmm (123)
**Energy of formation from the pure elements**: -836 meV per atom

[24]
VASP calculation (PBE) on an optimized crystal structure of SrTmAu.

```
SrTmAu
1.0
4.944 0.000 0.000
0.000 4.944 0.000
0.000 0.000 7.763
Sr Tm Au
2 2 2
Direct
0.250 0.250 0.130
0.750 0.750 0.870
0.250 0.750 0.500
0.750 0.250 0.500
0.250 0.250 0.700
0.750 0.750 0.300
```

Values from the calculation:
**Energy relative to the lowest polymorph listed for this composition**: 0.0000 eV per atom
**SG**: P4/nmm (129)
**Energy of formation from the pure elements**: -569 meV per atom